The following is a DFT calculation (PBE) of TePbBr2 after structural relaxation.

Cell lengths 6.9870, 9.1898, 3.6036 Å; angles 90.00, 90.00, 90.00 degrees
Closest atoms and distances in Å follow each position.
Space group Cmmm (No. 65)
Symmetry-distinct sites (fractional):
Te1 0.0000 0.0000 0.0000  8 Br 3.40, 2 Pb 3.49, 2 Te 3.60
Pb1 0.0000 0.5000 0.0000  8 Br 3.40, 2 Te 3.49, 2 Pb 3.60
Br1 0.2500 0.2500 0.5000  4 Pb 3.40, 4 Te 3.40, 4 Br 3.49-3.60

## Properties
D(E_F): 4.494 states/eV/cell
Formation energy from raw total energies: -0.2 eV/f.u.
Energy above the lowest structure with this stoichiometry: 334 meV/atom